w.
AuSI2: optimized geometry, GGA-PBE.

abc: 7.351 7.351 7.351
angles: 90.00 90.00 90.00
Positions (direct):
1 Au 0.000 0.000 0.000
2 Au 0.000 0.500 0.500
3 Au 0.500 0.000 0.500
4 Au 0.500 0.500 0.000
5 S 0.000 0.000 0.500
6 S 0.000 0.500 0.000
7 S 0.500 0.000 0.000
8 S 0.500 0.500 0.500
9 I 0.250 0.250 0.250
10 I 0.250 0.250 0.750
11 I 0.250 0.750 0.250
12 I 0.250 0.750 0.750
13 I 0.750 0.250 0.250
14 I 0.750 0.250 0.750
15 I 0.750 0.750 0.250
16 I 0.750 0.750 0.750

Computed properties:
Its size of the total moment is 0.00 μB/f.u.

***

x.
AuSI2: optimized geometry, GGA-PBE.

abc: 5.671 5.671 16.405
angles: 90.00 90.00 90.00
Positions (direct):
1 Au 0.000 0.000 0.000
2 Au 0.000 0.500 0.250
3 Au 0.500 0.000 0.750
4 Au 0.500 0.500 0.500
5 S 0.000 0.000 0.500
6 S 0.000 0.500 0.750
7 S 0.500 0.000 0.250
8 S 0.500 0.500 0.000
9 I 0.236 0.250 0.625
10 I 0.250 0.736 0.875
11 I 0.250 0.764 0.375
12 I 0.264 0.250 0.125
13 I 0.736 0.750 0.125
14 I 0.750 0.236 0.375
15 I 0.750 0.264 0.875
16 I 0.764 0.750 0.625

Computed properties:
Its size of the total moment is 0.00 μB/f.u.

***

What should be chosen as the most stable of them? Choose x.

***

w.
Sb2AuSI: optimized geometry, GGA-PBE.

abc: 5.467 5.467 5.378
angles: 90.00 90.00 90.00
Positions (direct):
1 Sb 0.000 0.500 0.000
2 Sb 0.500 0.000 0.000
3 Au 0.000 0.000 0.000
4 S 0.500 0.500 0.500
5 I 0.000 0.000 0.500

Computed properties:
Its size of the total moment is 0.00 μB/f.u.

***

x.
Sb2AuSI: optimized geometry, GGA-PBE.

abc: 5.216 5.216 5.514
angles: 90.00 90.00 90.00
Positions (direct):
1 Sb 0.000 0.500 0.000
2 Sb 0.500 0.000 0.000
3 Au 0.000 0.000 0.500
4 S 0.500 0.500 0.000
5 I 0.500 0.500 0.500

Computed properties:
Its size of the total moment is 0.00 μB/f.u.

***

What should be chosen as the most stable of them? Choose x.